## IrRuRh4 (PBE)

Data for a relaxed IrRuRh4 crystal.

Unit cell a=5.028 b=5.028 c=5.028 alpha=60.00 beta=60.00 gamma=60.00
Fractional positions:
Ir 0.000 0.000 0.000
Ru 0.250 0.250 0.250
Rh 0.125 0.625 0.625
Rh 0.625 0.125 0.625
Rh 0.625 0.625 0.125
Rh 0.625 0.625 0.625

Values from the calculation:
total magnetic moment: 0.4 μB/f.u.
electronic total energy: -7.376 eV/atom
formation energy from the elements: 0.55 eV per atom